Model one:
Computed, not measured: a geometry-optimized TlCr2Ru structure at the PBE-GGA level of DFT.

a b c (Å): 4.4864 4.4864 4.4864
angles (deg): 60.00 60.00 60.00
Last column: nearest neighbours and their distance in Å.
Atoms (fractional coordinates):
Tl 0.0000 0.0000 0.0000  4 Ru 2.75, 4 Cr 2.75
Cr 0.2500 0.2500 0.2500  4 Cr 2.75, 4 Tl 2.75
Cr 0.5000 0.5000 0.5000  4 Ru 2.75, 4 Cr 2.75
Ru 0.7500 0.7500 0.7500  4 Cr 2.75, 4 Tl 2.75

Summary:
The magnetic moment is 0.80 μB/f.u. The calculation puts the density of states at the Fermi level at 1.4290 states/eV/atom.

=====

Model two:
Computed, not measured: a geometry-optimized TlCr2Ru structure at the PBE-GGA level of DFT.

a b c (Å): 4.5022 4.5022 4.5022
angles (deg): 60.00 60.00 60.00
Last column: nearest neighbours and their distance in Å.
Atoms (fractional coordinates):
Tl 0.0000 0.0000 0.0000  8 Cr 2.76
Cr 0.2500 0.2500 0.2500  4 Tl 2.76, 4 Ru 2.76
Cr 0.7500 0.7500 0.7500  4 Tl 2.76, 4 Ru 2.76
Ru 0.5000 0.5000 0.5000  8 Cr 2.76

Summary:
The magnetic moment is 6.34 μB/f.u. The calculation puts the density of states at the Fermi level at 1.5859 states/eV/atom.

=====

Which of them is most stable? Easy: model one.

=====

Model one:
Computed, not measured: a geometry-optimized TlCr2Ru structure at the PBE-GGA level of DFT.

a b c (Å): 2.8786 3.8676 5.5788
angles (deg): 90.00 90.00 90.00
Last column: nearest neighbours and their distance in Å.
Atoms (fractional coordinates):
Tl 0.0000 0.0000 0.0000  2 Ru 2.79, 2 Tl 2.88, 8 Cr 2.98
Cr 0.5000 0.5000 0.3149  1 Cr 2.06
Cr 0.5000 0.5000 0.6851  1 Cr 2.06
Ru 0.0000 0.0000 0.5000  8 Cr 2.62, 2 Tl 2.79, 2 Ru 2.88

Summary:
The magnetic moment is 0.00 μB/f.u. The calculation puts the density of states at the Fermi level at 1.2522 states/eV/atom.

=====

Model two:
Computed, not measured: a geometry-optimized TlCr2Ru structure at the PBE-GGA level of DFT.

a b c (Å): 4.6741 4.6741 3.0195
angles (deg): 90.00 90.00 102.62
Last column: nearest neighbours and their distance in Å.
Atoms (fractional coordinates):
Tl 0.0000 0.0000 0.0000  8 Cr 2.78, 2 Ru 2.92, 2 Tl 3.02
Cr 0.0000 0.5000 0.5000  4 Tl 2.78, 4 Ru 2.78, 4 Cr 2.92-3.02
Cr 0.5000 0.0000 0.5000  4 Tl 2.78, 4 Ru 2.78, 4 Cr 2.92-3.02
Ru 0.5000 0.5000 0.0000  8 Cr 2.78, 2 Tl 2.92, 2 Ru 3.02

Summary:
The magnetic moment is 5.73 μB/f.u. The calculation puts the density of states at the Fermi level at 1.1340 states/eV/atom.

=====

Which of them is most stable? Easy: model one.

=====

Model one:
Computed, not measured: a geometry-optimized TlCr2Ru structure at the PBE-GGA level of DFT.

a b c (Å): 4.1161 4.1161 3.7856
angles (deg): 90.00 90.00 90.00
Last column: nearest neighbours and their distance in Å.
Atoms (fractional coordinates):
Tl 0.0000 0.0000 0.0000  8 Cr 2.80, 4 Ru 2.91
Cr 0.0000 0.5000 0.5000  4 Tl 2.80, 4 Ru 2.80, 4 Cr 2.91
Cr 0.5000 0.0000 0.5000  4 Tl 2.80, 4 Ru 2.80, 4 Cr 2.91
Ru 0.5000 0.5000 0.0000  8 Cr 2.80, 4 Tl 2.91

Summary:
The magnetic moment is 5.88 μB/f.u. The calculation puts the density of states at the Fermi level at 1.3639 states/eV/atom.

=====

Model two:
Computed, not measured: a geometry-optimized TlCr2Ru structure at the PBE-GGA level of DFT.

a b c (Å): 2.9301 2.9301 7.4398
angles (deg): 90.00 90.00 90.00
Last column: nearest neighbours and their distance in Å.
Atoms (fractional coordinates):
Tl 0.0000 0.0000 0.0000  4 Tl 2.93, 4 Ru 3.01, 4 Cr 3.06
Cr 0.0000 0.0000 0.5109  4 Ru 2.53, 4 Cr 2.59
Cr 0.5000 0.5000 0.3021  4 Cr 2.59
Ru 0.5000 0.5000 0.7070  4 Cr 2.53

Summary:
The magnetic moment is 1.64 μB/f.u. The calculation puts the density of states at the Fermi level at 0.4947 states/eV/atom.

=====

Which of them is most stable? Easy: model two.

=====

Model one:
Computed, not measured: a geometry-optimized TlCr2Ru structure at the PBE-GGA level of DFT.

a b c (Å): 4.5249 4.5249 3.1306
angles (deg): 90.00 90.00 90.00
Last column: nearest neighbours and their distance in Å.
Atoms (fractional coordinates):
Tl 0.0000 0.0000 0.0000  8 Cr 2.75
Cr 0.0000 0.5000 0.5000  4 Tl 2.75, 4 Ru 2.75
Cr 0.5000 0.0000 0.5000  4 Tl 2.75, 4 Ru 2.75
Ru 0.5000 0.5000 0.0000  8 Cr 2.75

Summary:
The magnetic moment is 5.79 μB/f.u. The calculation puts the density of states at the Fermi level at 1.6790 states/eV/atom.

=====

Model two:
Computed, not measured: a geometry-optimized TlCr2Ru structure at the PBE-GGA level of DFT.

a b c (Å): 8.5367 8.5367 8.5367
angles (deg): 19.71 19.71 19.71
Last column: nearest neighbours and their distance in Å.
Atoms (fractional coordinates):
Tl 0.0000 0.0000 0.0000  6 Tl 2.92, 3 Ru 2.94, 3 Cr 2.98
Cr 0.4935 0.4935 0.4935  3 Cr 2.30, 3 Ru 2.57
Cr 0.7643 0.7643 0.7643  3 Cr 2.30
Ru 0.2372 0.2372 0.2372  3 Cr 2.57

Summary:
The magnetic moment is 0.00 μB/f.u. The calculation puts the density of states at the Fermi level at 0.6767 states/eV/atom.

=====

Model three:
Computed, not measured: a geometry-optimized TlCr2Ru structure at the PBE-GGA level of DFT.

a b c (Å): 5.1927 5.1927 5.1927
angles (deg): 145.48 127.90 64.01
Last column: nearest neighbours and their distance in Å.
Atoms (fractional coordinates):
Tl 0.0000 0.0000 0.0000  8 Cr 2.76-3.05, 4 Ru 2.87-3.03, 2 Tl 3.08
Cr 0.2700 0.7700 0.5000  2 Cr 2.44
Cr 0.4846 0.4846 0.0000  2 Cr 2.44, 2 Ru 2.62
Ru 0.7257 0.2257 0.5000  6 Cr 2.62-2.78, 2 Tl 2.87

Summary:
The magnetic moment is 0.41 μB/f.u. The calculation puts the density of states at the Fermi level at 0.9141 states/eV/atom.

=====

Which of them is most stable? Easy: model three.

=====

Model one:
Computed, not measured: a geometry-optimized TlCr2Ru structure at the PBE-GGA level of DFT.

a b c (Å): 5.1201 5.1201 5.1201
angles (deg): 143.82 130.26 63.03
Last column: nearest neighbours and their distance in Å.
Atoms (fractional coordinates):
Tl 0.0000 0.0000 0.0000  4 Ru 2.68, 4 Cr 2.77
Cr 0.2596 0.7596 0.5000  2 Ru 2.63, 4 Cr 2.68, 2 Tl 2.77
Cr 0.7404 0.2404 0.5000  2 Ru 2.63, 4 Cr 2.68, 2 Tl 2.77
Ru 0.5000 0.5000 0.0000  4 Cr 2.63, 4 Tl 2.68

Summary:
The magnetic moment is 0.00 μB/f.u. The calculation puts the density of states at the Fermi level at 0.9349 states/eV/atom.

=====

Model two:
Computed, not measured: a geometry-optimized TlCr2Ru structure at the PBE-GGA level of DFT.

a b c (Å): 4.7732 4.7732 4.7732
angles (deg): 128.77 128.77 75.38
Last column: nearest neighbours and their distance in Å.
Atoms (fractional coordinates):
Tl 0.0000 0.0000 0.0000  8 Cr 2.80, 4 Ru 2.92
Cr 0.2500 0.7500 0.5000  4 Tl 2.80, 4 Ru 2.80, 4 Cr 2.92
Cr 0.7500 0.2500 0.5000  4 Tl 2.80, 4 Ru 2.80, 4 Cr 2.92
Ru 0.5000 0.5000 0.0000  8 Cr 2.80, 4 Tl 2.92

Summary:
The magnetic moment is 6.38 μB/f.u. The calculation puts the density of states at the Fermi level at 0.8269 states/eV/atom.

=====

Model three:
Computed, not measured: a geometry-optimized TlCr2Ru structure at the PBE-GGA level of DFT.

a b c (Å): 4.8341 4.8341 4.8007
angles (deg): 105.74 105.74 35.69
Last column: nearest neighbours and their distance in Å.
Atoms (fractional coordinates):
Tl 0.0000 0.0000 0.0000  7 Cr 2.82-2.90, 3 Ru 2.88-2.91, 2 Tl 2.96
Cr 0.2273 0.2273 0.7110  2 Cr 2.48, 2 Ru 2.58
Cr 0.5063 0.5063 0.5026  2 Cr 2.48, 2 Ru 2.57
Ru 0.7714 0.7714 0.3024  5 Cr 2.57-2.87, 1 Tl 2.88

Summary:
The magnetic moment is 0.05 μB/f.u. The calculation puts the density of states at the Fermi level at 0.7777 states/eV/atom.

=====

Model four:
Computed, not measured: a geometry-optimized TlCr2Ru structure at the PBE-GGA level of DFT.

a b c (Å): 2.9511 2.9511 7.5312
angles (deg): 90.00 90.00 90.00
Last column: nearest neighbours and their distance in Å.
Atoms (fractional coordinates):
Tl 0.0000 0.0000 0.0000  4 Tl 2.95, 8 Cr 3.02
Cr 0.5000 0.5000 0.2901  4 Ru 2.62
Cr 0.5000 0.5000 0.7099  4 Ru 2.62
Ru 0.0000 0.0000 0.5000  8 Cr 2.62

Summary:
The magnetic moment is 5.23 μB/f.u. The calculation puts the density of states at the Fermi level at 0.7283 states/eV/atom.

=====

Which of them is most stable? Easy: model four.